<a>
! Ce2Nd2Tl3 (PBE-GGA, relaxed); values from VASP
! - space-group type = Cmmm (65)
! - total magnetic moment (Bohr magnetons per cell) = 1.53
&SYSTEM
  ibrav = 0, nat = 7, ntyp = 3
/
ATOMIC_SPECIES
Ce 140.12 Ce.upf
Nd 144.24 Nd.upf
Tl 204.38 Tl.upf
CELL_PARAMETERS angstrom
2.230 -12.554 0.000
2.230 12.554 0.000
0.000 0.000 3.571
ATOMIC_POSITIONS angstrom
Ce 2.230 7.134 0.000
Ce 2.230 -7.134 0.000
Nd 2.230 10.695 0.000
Nd 2.230 -10.695 0.000
Tl 2.230 3.706 1.786
Tl 2.230 0.000 1.786
Tl 2.230 -3.706 1.786

***

<b>
! Ce2Nd2Tl3 (PBE-GGA, relaxed); values from VASP
! - space-group type = P-1 (2)
! - total magnetic moment (Bohr magnetons per cell) = 2.52
&SYSTEM
  ibrav = 0, nat = 7, ntyp = 3
/
ATOMIC_SPECIES
Ce 140.12 Ce.upf
Nd 144.24 Nd.upf
Tl 204.38 Tl.upf
CELL_PARAMETERS angstrom
4.685 0.000 0.000
-2.341 5.448 0.000
-0.005 -1.230 8.060
ATOMIC_POSITIONS angstrom
Ce -0.004 2.265 0.915
Ce 2.344 1.953 7.145
Nd -0.001 3.300 4.769
Nd 2.341 0.919 3.291
Tl -0.001 0.024 5.695
Tl 2.343 0.000 0.000
Tl 2.341 4.195 2.364

***

<a> (0.044 eV/atom below the next structure)